No. 1
Computed, not measured: crystalline Tb4TlCd at its relaxed geometry at the PBE-GGA level of DFT.

Lattice parameters (Å, degrees): 5.1801 5.1807 8.9592 73.28 73.27 60.08
Fractional positions:
Tb 0.1234 0.1235 0.6298
Tb 0.3731 0.3732 0.8807
Tb 0.6269 0.6268 0.1193
Tb 0.8766 0.8765 0.3702
Tl 0.5000 0.5000 0.5000
Cd 0.0000 0.0000 0.0000

## Properties
The distance to the lowest polymorph of the same formula is 0.242 eV/atom. As for the energy of formation from the pure elements: 0.03 eV/atom. The space group is No. 12.

No. 2
Computed, not measured: crystalline Cr2CoAs at its relaxed geometry at the PBE-GGA level of DFT.

Lattice parameters (Å, degrees): 2.9872 2.9872 5.5657 90.00 90.00 90.00
Fractional positions:
As 0.0000 0.0000 0.5069
Co 0.5000 0.5000 0.7435
Cr 0.5000 0.5000 0.2390
Cr 0.0000 0.0000 0.0106

## Properties
As for the energy of formation from the pure elements: 0.09 eV/atom. The space group is No. 99.

No. 3
Computed, not measured: crystalline YTa2Tl2 at its relaxed geometry at the PBE-GGA level of DFT.

Lattice parameters (Å, degrees): 7.8733 7.8733 3.6603 90.00 90.00 90.00
Fractional positions:
Y 0.0000 0.0000 0.0000
Y 0.5000 0.5000 0.0000
Tl 0.3615 0.8615 0.0000
Tl 0.6385 0.1385 0.0000
Tl 0.1385 0.3615 0.0000
Tl 0.8615 0.6385 0.0000
Ta 0.6594 0.8406 0.5000
Ta 0.8406 0.3406 0.5000
Ta 0.1594 0.6594 0.5000
Ta 0.3406 0.1594 0.5000

## Properties
The distance to the lowest polymorph of the same formula is 0.305 eV/atom. As for the energy of formation from the pure elements: 0.57 eV/atom. The space group is No. 127.

No. 4
Computed, not measured: crystalline Tl2RuAu at its relaxed geometry at the PBE-GGA level of DFT.

Lattice parameters (Å, degrees): 9.2318 9.2318 9.2318 20.30 20.30 20.30
Fractional positions:
Au 0.2500 0.2500 0.2500
Ru 0.7500 0.7500 0.7500
Tl 0.0059 0.0059 0.0059
Tl 0.4941 0.4941 0.4941

## Properties
The distance to the lowest polymorph of the same formula is 0.143 eV/atom. As for the energy of formation from the pure elements: 0.48 eV/atom. The space group is No. 166.

No. 5
Computed, not measured: crystalline SrPt3N at its relaxed geometry at the PBE-GGA level of DFT.

Lattice parameters (Å, degrees): 4.3883 4.3883 4.3883 90.00 90.00 90.00
Fractional positions:
Pt 0.0000 0.0000 0.5000
Pt 0.5000 0.0000 0.0000
Pt 0.0000 0.5000 0.0000
N 0.0000 0.0000 0.0000
Sr 0.5000 0.5000 0.5000

## Properties
The distance to the lowest polymorph of the same formula is 0.000 eV/atom. The space group is No. 221.

No. 6
Computed, not measured: crystalline CsMgAl at its relaxed geometry at the PBE-GGA level of DFT.

Lattice parameters (Å, degrees): 4.4842 9.3977 13.1687 90.00 90.00 90.00
Fractional positions:
Cs 0.4076 0.9957 0.3010
Cs 0.9076 0.0043 0.6990
Cs 0.4076 0.4957 0.6990
Cs 0.9076 0.5043 0.3010
Al 0.4095 0.3284 0.1097
Al 0.9095 0.1716 0.1097
Al 0.9095 0.6716 0.8903
Al 0.4095 0.8284 0.8903
Mg 0.4119 0.6141 0.0405
Mg 0.9119 0.8859 0.0405
Mg 0.9119 0.3859 0.9595
Mg 0.4119 0.1141 0.9595

## Properties
As for the energy of formation from the pure elements: 0.10 eV/atom. The space group is No. 29.

No. 7
Computed, not measured: crystalline Zr6H3C2O at its relaxed geometry at the PBE-GGA level of DFT.

Lattice parameters (Å, degrees): 5.7365 5.7365 5.7092 100.57 100.57 119.52
Fractional positions:
H 0.8275 0.1725 0.5000
H 0.5000 0.5000 0.5000
H 0.1725 0.8275 0.5000
O 0.0000 0.0000 0.0000
Zr 0.0848 0.4194 0.2375
Zr 0.7521 0.7521 0.2388
Zr 0.2479 0.2479 0.7612
Zr 0.5806 0.9152 0.7625
Zr 0.4194 0.0848 0.2375
Zr 0.9152 0.5806 0.7625
C 0.3340 0.6660 0.0000
C 0.6660 0.3340 0.0000

## Properties
The space group is No. 12.

No. 8
Computed, not measured: crystalline Tb6DyTm3 at its relaxed geometry at the PBE-GGA level of DFT.

Lattice parameters (Å, degrees): 6.1475 10.9050 10.9050 119.84 90.00 90.00
Fractional positions:
Tb 0.8593 0.4662 0.0470
Tb 0.9174 0.0462 0.9538
Tb 0.0362 0.3804 0.2903
Tb 0.8593 0.9530 0.5338
Tb 0.3593 0.0470 0.4662
Tb 0.0362 0.7097 0.6196
Tb 0.6470 0.2805 0.7195
Tb 0.5362 0.6196 0.7097
Tb 0.4174 0.9538 0.0462
Tb 0.3593 0.5338 0.9530
Tb 0.5362 0.2903 0.3804
Tb 0.1470 0.7195 0.2805
Tm 0.4574 0.2796 0.0606
Tm 0.9574 0.0606 0.2796
Tm 0.5727 0.6112 0.3888
Tm 0.0727 0.3888 0.6112
Tm 0.9574 0.7204 0.9394
Tm 0.4574 0.9394 0.7204
Dy 0.1425 0.2050 0.7950
Dy 0.6425 0.7950 0.2050

## Properties
The distance to the lowest polymorph of the same formula is 0.023 eV/atom. As for the energy of formation from the pure elements: 0.15 eV/atom. The space group is No. 36.

No. 9
Computed, not measured: crystalline ThCu2Hg at its relaxed geometry at the PBE-GGA level of DFT.

Lattice parameters (Å, degrees): 4.5801 6.4328 10.8090 90.00 90.00 90.00
Fractional positions:
Th 0.7500 0.2500 0.3407
Th 0.2500 0.7500 0.6593
Th 0.2500 0.2500 0.8407
Th 0.7500 0.7500 0.1593
Cu 0.2500 0.5585 0.3598
Cu 0.7500 0.0585 0.6404
Cu 0.2500 0.0585 0.1402
Cu 0.7500 0.9415 0.8598
Cu 0.7500 0.4415 0.6402
Cu 0.2500 0.4415 0.1404
Cu 0.2500 0.9415 0.3596
Cu 0.7500 0.5585 0.8596
Hg 0.7500 0.2501 0.0450
Hg 0.2500 0.7499 0.9550
Hg 0.7500 0.7501 0.4550
Hg 0.2500 0.2499 0.5450

## Properties
As for the energy of formation from the pure elements: -0.14 eV/atom. The space group is No. 63.

No. 10
Computed, not measured: crystalline Tl2HgHBr5 at its relaxed geometry at the PBE-GGA level of DFT.

Lattice parameters (Å, degrees): 4.6227 9.8277 13.7204 90.00 90.00 103.60
Fractional positions:
Hg 0.3998 0.7996 0.4757
Hg 0.6002 0.2004 0.9757
Tl 0.1232 0.2465 0.2689
Tl 0.8768 0.7535 0.7689
Tl 0.1185 0.2370 0.7105
Tl 0.8815 0.7630 0.2105
Br 0.3526 0.7052 0.0028
Br 0.0353 0.0707 0.0520
Br 0.4932 0.9863 0.3140
Br 0.6959 0.3917 0.1289
Br 0.7035 0.4070 0.8382
Br 0.9647 0.9293 0.5520
Br 0.3041 0.6083 0.6289
Br 0.6474 0.2948 0.5028
Br 0.2965 0.5930 0.3382
Br 0.5068 0.0137 0.8140
H 0.2802 0.5603 0.0329
H 0.7198 0.4397 0.5329

## Properties
The space group is No. 36.

No. 11
Computed, not measured: crystalline BaTa2Au at its relaxed geometry at the PBE-GGA level of DFT.

Lattice parameters (Å, degrees): 6.0779 6.0779 2.9244 90.00 90.00 121.80
Fractional positions:
Ta 0.0000 0.0000 0.0000
Ta 0.5000 0.5000 0.0000
Au 0.5000 0.0000 0.5000
Ba 0.0000 0.5000 0.5000

## Properties
The distance to the lowest polymorph of the same formula is 0.715 eV/atom. As for the energy of formation from the pure elements: 1.02 eV/atom. The space group is No. 65.

No. 12
Computed, not measured: crystalline KGe5 at its relaxed geometry at the PBE-GGA level of DFT.

Lattice parameters (Å, degrees): 4.8789 5.0320 6.0294 114.66 90.00 90.00
Fractional positions:
K 0.0000 0.0000 0.0000
Ge 0.5000 0.1967 0.3934
Ge 0.5000 0.8033 0.6066
Ge 0.0000 0.3046 0.6092
Ge 0.5000 0.5000 0.0000
Ge 0.0000 0.6954 0.3908

## Properties
As for the energy of formation from the pure elements: 0.26 eV/atom. The space group is No. 65.

| no. | final energy (eV/cell) |
| --- | --- |
| 1 | -21.611 |
| 2 | -30.657 |
| 3 | -64.123 |
| 4 | -15.365 |
| 5 | -27.743 |
| 6 | -23.556 |
| 7 | -95.814 |
| 8 | -88.603 |
| 9 | -65.943 |
| 10 | -43.725 |
| 11 | -24.838 |
| 12 | -22.625 |